Below is crystalline TeIrO at its relaxed geometry, with properties calculated at the PBE level.

The density of states at the Fermi level comes out at 5.595 states/eV per cell. The value obtained for the raw formation energy is -0.2064 eV per atom. Its crystal system is monoclinic.

The structure belongs to space group P2_1/c (No. 14); the cell edges are 6.011, 5.711 and 6.137 Å and the angles 90.00°, 106.00° and 90.00°. The inequivalent atoms are Te at (0.170, 0.089, 0.344), Ir at (0.273, 0.511, 0.272) and O at (0.370, 0.603, 0.629).